The following is a DFT calculation (GGA-PBE) of CdTcRu2 after structural relaxation.

It has space group P4/mmm (No. 123), with a = 4.0473 Å, b = 4.0473 Å, c = 3.7863 Å, α = 90.00°, β = 90.00° and γ = 90.00°. Symmetry generates all atoms from Cd at (0.0000, 0.0000, 0.0000), Tc at (0.5000, 0.5000, 0.0000) and Ru at (0.0000, 0.5000, 0.5000).

As for the density of states at the Fermi level: 5.78 states/eV/cell. The total energy is -27.72 eV for the cell shown.